Entry a
BeHg2F: optimized geometry, PBE-GGA.

Computed properties:
The value obtained for the spin magnetization is 0.0000 μB per atom. The space-group type is I-42d.

Geometry as POSCAR:
```
BeHg2F
1.0
-3.1319 3.1319 4.2869
3.1319 -3.1319 4.2869
3.1319 3.1319 -4.2869
Be Hg F
2 4 2
Cartesian
0.0000 0.0000 0.0000
0.0000 3.1319 2.1435
4.6979 1.4344 -1.0717
1.4344 1.5660 1.0717
-1.5660 1.6975 3.2152
1.6975 1.5660 5.3587
3.1319 0.0000 2.1435
0.0000 0.0000 4.2869
```

Entry b
BeHg2F: optimized geometry, PBE-GGA.

Computed properties:
The value obtained for the spin magnetization is 0.0000 μB per atom. The space-group type is Fm-3m.

Geometry as POSCAR:
```
BeHg2F
1.0
0.0000 3.2371 3.2371
3.2371 0.0000 3.2371
3.2371 3.2371 0.0000
Be Hg F
1 2 1
Cartesian
0.0000 0.0000 0.0000
1.6186 1.6186 1.6186
4.8557 4.8557 4.8557
3.2371 3.2371 3.2371
```

The most stable arrangement is entry a, and the next structure is 14.8 kJ/mol of atoms less stable.